Ce2SmThN4 | PBE-GGA | relaxed

POSCAR file:
```
Ce2SmThN4
1.0
3.601 0.000 0.000
0.000 6.225 0.109
0.000 -2.175 5.847
Ce N Th Sm
2 4 1 1
direct
0.500 0.000 0.500
0.000 0.500 0.500
0.000 0.251 0.747
0.500 0.256 0.256
0.500 0.744 0.744
0.000 0.749 0.253
0.500 0.500 0.000
0.000 0.000 0.000
```

As for the crystal system: monoclinic. The symmetry is P2/m, No. 10. The value obtained for the density of states at the Fermi level is 6.4 states/eV per cell. The formation energy without anion corrections comes out at -1.530 eV/atom.



CoPb2S2 | PBE-GGA | relaxed

POSCAR file:
```
CoPb2S2
1.0
-4.045 3.849 -1.971
-3.881 -2.041 3.980
-2.756 3.442 3.483
S Co Pb
2 1 2
direct
0.283 0.283 0.435
0.717 0.717 0.565
0.000 0.000 0.000
0.250 0.750 0.500
0.750 0.250 0.500
```

As for the crystal system: tetragonal. The symmetry is I4/mmm, No. 139. The value obtained for the density of states at the Fermi level is 7.0 states/eV per cell. The formation energy without anion corrections comes out at -0.040 eV/atom.



K2SmErTe4 | PBE-GGA | relaxed

POSCAR file:
```
K2SmErTe4
1.0
4.520 0.000 0.000
0.000 7.829 0.134
0.000 -2.748 8.201
Te K Er Sm
4 2 1 1
direct
0.000 0.257 0.789
0.500 0.770 0.792
0.000 0.743 0.211
0.500 0.230 0.208
0.000 0.500 0.500
0.500 0.000 0.500
0.000 0.000 0.000
0.500 0.500 0.000
```

As for the crystal system: monoclinic. The symmetry is P2/m, No. 10. The formation energy without anion corrections comes out at -1.395 eV/atom.



U2Pt3Rh2 | PBE-GGA | relaxed

POSCAR file:
```
U2Pt3Rh2
1.0
3.721 0.000 0.000
-1.860 3.906 -2.782
0.000 -0.877 9.773
Pt U Rh
3 2 2
direct
0.000 0.000 0.500
0.315 0.631 0.868
0.685 0.369 0.132
0.555 0.110 0.769
0.445 0.890 0.231
0.195 0.390 0.362
0.805 0.610 0.638
```

As for the crystal system: monoclinic. The symmetry is C2/m, No. 12. For the formation energy from the elements, the calculation gives -554 meV per atom. The value obtained for the density of states at the Fermi level is 9.7 states/eV per cell.



PmDy3Th2As6 | PBE-GGA | relaxed

POSCAR file:
```
PmDy3Th2As6
1.0
-4.122 0.576 -0.525
0.446 -3.643 -7.502
0.371 -7.286 5.847
Th As Dy Pm
2 6 3 1
direct
0.835 0.669 0.669
0.165 0.331 0.331
0.669 0.079 0.337
0.999 0.255 0.997
0.665 0.587 0.331
0.001 0.745 0.003
0.331 0.921 0.663
0.335 0.413 0.669
0.500 0.500 0.000
0.166 0.834 0.331
0.834 0.166 0.669
0.500 0.000 0.000
```

As for the crystal system: monoclinic. The symmetry is C2/m, No. 12. For the formation energy from the elements, the calculation gives -1500 meV per atom. The value obtained for the density of states at the Fermi level is 4.0 states/eV per cell.



Zr6As3N | PBE-GGA | relaxed

POSCAR file:
```
Zr6As3N
1.0
6.229 0.000 0.000
0.000 8.238 0.118
0.000 -1.723 8.057
Zr N As
12 2 6
direct
0.163 0.050 0.950
0.685 0.901 0.428
0.185 0.099 0.572
0.185 0.428 0.901
0.687 0.625 0.704
0.694 0.234 0.766
0.187 0.375 0.296
0.194 0.766 0.234
0.663 0.950 0.050
0.187 0.704 0.625
0.685 0.572 0.099
0.687 0.296 0.375
0.023 0.200 0.800
0.523 0.800 0.200
0.493 0.269 0.071
0.993 0.071 0.269
0.993 0.731 0.929
0.378 0.399 0.601
0.878 0.601 0.399
0.493 0.929 0.731
```

As for the crystal system: orthorhombic. The symmetry is Cmc2_1, No. 36. The value obtained for the density of states at the Fermi level is 14.8 states/eV per cell. The formation energy without anion corrections comes out at -0.911 eV/atom.



Pm2ThPb | PBE-GGA | relaxed

POSCAR file:
```
Pm2ThPb
1.0
-3.087 2.863 -2.357
-2.925 -3.970 -0.991
-2.527 0.795 4.276
Pm Pb Th
2 1 1
direct
0.000 0.000 0.500
0.000 0.500 0.000
0.500 0.000 0.000
0.500 0.500 0.500
```

As for the crystal system: tetragonal. The symmetry is P4/mmm, No. 123. For the formation energy from the elements, the calculation gives -263 meV per atom. The value obtained for the density of states at the Fermi level is 3.2 states/eV per cell.



PmTh2Ni | PBE-GGA | relaxed

POSCAR file:
```
PmTh2Ni
1.0
3.569 0.000 0.000
0.000 3.569 0.000
0.000 0.000 8.582
Th Ni Pm
2 1 1
direct
0.000 0.000 0.190
0.000 0.000 0.810
0.500 0.500 0.000
0.500 0.500 0.500
```

As for the crystal system: tetragonal. The symmetry is P4/mmm, No. 123. For the formation energy from the elements, the calculation gives -89 meV per atom. The value obtained for the density of states at the Fermi level is 7.2 states/eV per cell.



SrTcNi | PBE-GGA | relaxed

POSCAR file:
```
SrTcNi
1.0
-1.783 5.221 -2.499
-4.272 4.088 1.315
4.826 -3.382 1.399
Ni Tc Sr
1 1 1
direct
0.046 0.046 0.000
0.618 0.618 0.000
0.336 0.336 0.000
```

As for the crystal system: orthorhombic. The symmetry is Imm2, No. 44. For the formation energy from the elements, the calculation gives 481 meV per atom. The value obtained for the density of states at the Fermi level is 2.9 states/eV per cell.



Sm4Hg2B | PBE-GGA | relaxed

POSCAR file:
```
Sm4Hg2B
1.0
5.095 0.000 0.000
0.000 5.095 0.000
-2.548 -2.548 7.678
Sm B Hg
4 1 2
direct
0.826 0.826 0.652
0.174 0.174 0.348
0.000 0.500 0.000
0.500 0.000 0.000
0.000 0.000 0.000
0.371 0.371 0.742
0.629 0.629 0.258
```

As for the crystal system: tetragonal. The symmetry is I4/mmm, No. 139. For the formation energy from the elements, the calculation gives -171 meV per atom. The value obtained for the density of states at the Fermi level is 9.2 states/eV per cell.



AlSbRh | PBE-GGA | relaxed

POSCAR file:
```
AlSbRh
1.0
-2.998 1.923 3.386
-3.353 -2.916 2.100
4.824 -0.067 -0.937
Sb Al Rh
1 1 1
direct
0.667 0.667 0.000
0.989 0.989 0.000
0.344 0.344 0.000
```

As for the crystal system: orthorhombic. The symmetry is Imm2, No. 44. The value obtained for the density of states at the Fermi level is 1.5 states/eV per cell. The formation energy without anion corrections comes out at -0.227 eV/atom.



Sm4IrRhBr2 | PBE-GGA | relaxed

POSCAR file:
```
Sm4IrRhBr2
1.0
-1.501 3.234 2.027
-6.576 -1.899 -1.838
1.614 -3.659 7.031
Rh Br Sm Ir
1 2 4 1
direct
0.500 0.500 0.000
0.500 0.000 0.500
0.000 0.500 0.500
0.000 0.269 0.806
0.500 0.771 0.806
0.500 0.229 0.194
0.000 0.731 0.194
0.000 0.000 0.000
```

As for the crystal system: monoclinic. The symmetry is P2/m, No. 10. The value obtained for the density of states at the Fermi level is 1.6 states/eV per cell. The formation energy without anion corrections comes out at -1.097 eV/atom.



Result set for E_tot: -8.694; -4.595; -4.401; -8.468; -6.607; -8.267; -5.421; -6.432; -5.462; -3.908; -5.299; -5.902 eV/atom, one per record in the order listed.